DFT (GGA-PBE) results for crystalline MgZrPb2 at its relaxed geometry.

Values from the calculation:
Calculated total energy, eV per atom: -4.4119
Crystal system: tetragonal

Geometry as CIF:
```
data_MgZrPb2
_chemical_formula_sum 'Mg1 Zr1 Pb2'
_symmetry_space_group_name_H-M 'P 4 m m'
_symmetry_Int_Tables_number 99
_cell_length_a 4.0814
_cell_length_b 4.0814
_cell_length_c 6.0897
_cell_angle_alpha 90.00
_cell_angle_beta 90.00
_cell_angle_gamma 90.00
loop_
_symmetry_equiv_pos_as_xyz
'x,y,z'
'-y,x,z'
'-x,-y,z'
'y,-x,z'
'-x,y,z'
'y,x,z'
'x,-y,z'
'-y,-x,z'
loop_
_atom_site_label
_atom_site_type_symbol
_atom_site_fract_x
_atom_site_fract_y
_atom_site_fract_z
_atom_site_occupancy
Mg1 Mg 0.0000 0.0000 0.0000 1
Zr1 Zr 0.5000 0.5000 0.7185 1
Pb1 Pb 0.0000 0.0000 0.5288 1
Pb2 Pb 0.5000 0.5000 0.2163 1
```


DFT (GGA-PBE) results for crystalline CaGa5Ni3 at its relaxed geometry.

Values from the calculation:
Calculated total energy, eV per atom: -4.1875
Crystal system: orthorhombic

Geometry as CIF:
```
data_CaGa5Ni3
_chemical_formula_sum 'Ca4 Ga20 Ni12'
_symmetry_space_group_name_H-M 'C m c m'
_symmetry_Int_Tables_number 63
_symmetry_space_group_name_Hall '-C 2c 2'
_cell_length_a 3.9269
_cell_length_b 12.3555
_cell_length_c 12.5041
_cell_angle_alpha 90.00
_cell_angle_beta 90.00
_cell_angle_gamma 90.00
loop_
_atom_site_label
_atom_site_type_symbol
_atom_site_fract_x
_atom_site_fract_y
_atom_site_fract_z
_atom_site_occupancy
Ca1 Ca 0.0000 0.1579 0.2500 1
Ga1 Ga 0.0000 0.0000 0.0000 1
Ga2 Ga 0.0000 0.2084 0.5673 1
Ga3 Ga 0.0000 0.4396 0.1515 1
Ni1 Ni 0.0000 0.1333 0.7500 1
Ni2 Ni 0.0000 0.3967 0.5380 1
```


DFT (GGA-PBE) results for crystalline NdAgBiPt at its relaxed geometry.

Values from the calculation:
Calculated total energy, eV per atom: -4.9068
Crystal system: cubic

Geometry as CIF:
```
data_NdAgBiPt
_chemical_formula_sum 'Nd4 Ag4 Bi4 Pt4'
_symmetry_space_group_name_H-M 'F -4 3 m'
_symmetry_Int_Tables_number 216
_symmetry_space_group_name_Hall 'F -4 2 3'
_cell_length_a 7.1878
_cell_length_b 7.1878
_cell_length_c 7.1878
_cell_angle_alpha 90.00
_cell_angle_beta 90.00
_cell_angle_gamma 90.00
loop_
_atom_site_label
_atom_site_type_symbol
_atom_site_fract_x
_atom_site_fract_y
_atom_site_fract_z
_atom_site_occupancy
Nd1 Nd 0.0000 0.0000 0.0000 1
Ag1 Ag 0.2500 0.2500 0.7500 1
Bi1 Bi 0.0000 0.0000 0.5000 1
Pt1 Pt 0.2500 0.2500 0.2500 1
```


DFT (GGA-PBE) results for crystalline Np2Ga4CoGe2 at its relaxed geometry.

Values from the calculation:
Calculated total energy, eV per atom: -6.2767
Crystal system: tetragonal

Geometry as CIF:
```
data_Np2Ga4CoGe2
_chemical_formula_sum 'Np4 Ga8 Co2 Ge4'
_symmetry_space_group_name_H-M 'I 4/m m m'
_symmetry_Int_Tables_number 139
_symmetry_space_group_name_Hall '-I 4 2'
_cell_length_a 6.0883
_cell_length_b 6.0883
_cell_length_c 8.7402
_cell_angle_alpha 90.00
_cell_angle_beta 90.00
_cell_angle_gamma 90.00
loop_
_atom_site_label
_atom_site_type_symbol
_atom_site_fract_x
_atom_site_fract_y
_atom_site_fract_z
_atom_site_occupancy
Np1 Np 0.0000 0.5000 0.2500 1
Ga1 Ga 0.2235 0.2235 0.0000 1
Co1 Co 0.0000 0.0000 0.5000 1
Ge1 Ge 0.0000 0.0000 0.2281 1
```


DFT (GGA-PBE) results for crystalline KBeAl4 at its relaxed geometry.

Values from the calculation:
Calculated total energy, eV per atom: -2.7666
Crystal system: cubic

Geometry as CIF:
```
data_KBeAl4
_chemical_formula_sum 'K4 Be4 Al16'
_symmetry_space_group_name_H-M 'F -4 3 m'
_symmetry_Int_Tables_number 216
_symmetry_space_group_name_Hall 'F -4 2 3'
_cell_length_a 7.8907
_cell_length_b 7.8907
_cell_length_c 7.8907
_cell_angle_alpha 90.00
_cell_angle_beta 90.00
_cell_angle_gamma 90.00
loop_
_atom_site_label
_atom_site_type_symbol
_atom_site_fract_x
_atom_site_fract_y
_atom_site_fract_z
_atom_site_occupancy
K1 K 0.0000 0.0000 0.0000 1
Be1 Be 0.2500 0.2500 0.2500 1
Al1 Al 0.1250 0.1250 0.6250 1
```


DFT (GGA-PBE) results for crystalline TbFe6 at its relaxed geometry.

Values from the calculation:
Crystal system: cubic
Energy relative to the lowest polymorph listed for this composition, meV/atom: 531

Geometry as CIF:
```
data_TbFe6
_chemical_formula_sum 'Tb2 Fe12'
_symmetry_space_group_name_H-M 'I m -3 m'
_symmetry_Int_Tables_number 229
_symmetry_space_group_name_Hall '-I 4 2 3'
_cell_length_a 6.0088
_cell_length_b 6.0088
_cell_length_c 6.0088
_cell_angle_alpha 90.00
_cell_angle_beta 90.00
_cell_angle_gamma 90.00
loop_
_atom_site_label
_atom_site_type_symbol
_atom_site_fract_x
_atom_site_fract_y
_atom_site_fract_z
_atom_site_occupancy
Tb1 Tb 0.0000 0.0000 0.0000 1
Fe1 Fe 0.0000 0.2500 0.5000 1
```


DFT (GGA-PBE) results for crystalline Cs2GaI6N at its relaxed geometry.

Values from the calculation:
Crystal system: tetragonal
Formation energy from raw total energies, eV/atom: -0.2913

Geometry as CIF:
```
data_Cs2GaI6N
_chemical_formula_sum 'Cs4 Ga2 I12 N2'
_symmetry_space_group_name_H-M 'I 4/m m m'
_symmetry_Int_Tables_number 139
_symmetry_space_group_name_Hall '-I 4 2'
_cell_length_a 8.1106
_cell_length_b 8.1106
_cell_length_c 11.2445
_cell_angle_alpha 90.00
_cell_angle_beta 90.00
_cell_angle_gamma 90.00
loop_
_atom_site_label
_atom_site_type_symbol
_atom_site_fract_x
_atom_site_fract_y
_atom_site_fract_z
_atom_site_occupancy
Cs1 Cs 0.0000 0.5000 0.2500 1
Ga1 Ga 0.0000 0.0000 0.0000 1
I1 I 0.0000 0.0000 0.2377 1
I2 I 0.2259 0.2259 0.5000 1
N1 N 0.0000 0.0000 0.5000 1
```


DFT (GGA-PBE) results for crystalline TmPuAs2 at its relaxed geometry.

Values from the calculation:
Crystal system: trigonal
Energy relative to the lowest polymorph listed for this composition, meV/atom: 150

Geometry as CIF:
```
data_TmPuAs2
_chemical_formula_sum 'Tm3 Pu3 As6'
_symmetry_space_group_name_H-M 'R 3 m'
_symmetry_Int_Tables_number 160
_symmetry_space_group_name_Hall 'R 3 -2"'
_cell_length_a 4.0844
_cell_length_b 4.0844
_cell_length_c 20.6510
_cell_angle_alpha 90.00
_cell_angle_beta 90.00
_cell_angle_gamma 120.00
loop_
_atom_site_label
_atom_site_type_symbol
_atom_site_fract_x
_atom_site_fract_y
_atom_site_fract_z
_atom_site_occupancy
Tm1 Tm 0.0000 0.0000 0.0000 1
Pu1 Pu 0.0000 0.0000 0.1717 1
As1 As 0.0000 0.0000 0.5850 1
As2 As 0.0000 0.0000 0.7531 1
```


N(E_F): 0.421; 0.421; 0.641; 1.844; 0.617; 1.333; 0.000; 2.474 (states/eV/atom)